# Cd3RePd, relaxed, DFT PBE-GGA
# Formation energy: 1.204 eV per atom
# Polymorph energy (0 for the lowest one): 0 meV/atom
data_Cd3RePd
_chemical_formula_sum 'Cd3 Re1 Pd1'
_cell_length_a 5.0833
_cell_length_b 5.0833
_cell_length_c 5.0833
_cell_angle_alpha 90.00
_cell_angle_beta 90.00
_cell_angle_gamma 90.00
_symmetry_space_group_name_H-M 'P m -3 m'
_symmetry_Int_Tables_number 221
_symmetry_space_group_name_Hall '-P 4 2 3'
loop_
_atom_site_label
_atom_site_fract_x
_atom_site_fract_y
_atom_site_fract_z
_atom_site_occupancy
Cd1 0.0000 0.0000 0.5000 1
Re1 0.5000 0.5000 0.5000 1
Pd1 0.0000 0.0000 0.0000 1


# Cd2RePd2, relaxed, DFT PBE-GGA
# Formation energy: 0.728 eV per atom
# Polymorph energy (0 for the lowest one): 324 meV/atom
data_Cd2RePd2
_chemical_formula_sum 'Cd4 Re2 Pd4'
_cell_length_a 3.7296
_cell_length_b 3.7296
_cell_length_c 13.5915
_cell_angle_alpha 90.00
_cell_angle_beta 90.00
_cell_angle_gamma 90.00
_symmetry_space_group_name_H-M 'I 4/m m m'
_symmetry_Int_Tables_number 139
_symmetry_space_group_name_Hall '-I 4 2'
loop_
_atom_site_label
_atom_site_fract_x
_atom_site_fract_y
_atom_site_fract_z
_atom_site_occupancy
Cd1 0.0000 0.5000 0.2500 1
Re1 0.0000 0.0000 0.0000 1
Pd1 0.0000 0.0000 0.4069 1


# Cd2RePd2, relaxed, DFT PBE-GGA
# Formation energy: 0.404 eV per atom
# Polymorph energy (0 for the lowest one): 0 meV/atom
data_Cd2RePd2
_chemical_formula_sum 'Cd4 Re2 Pd4'
_cell_length_a 7.7716
_cell_length_b 7.7716
_cell_length_c 2.8824
_cell_angle_alpha 90.00
_cell_angle_beta 90.00
_cell_angle_gamma 90.00
_symmetry_space_group_name_H-M 'P 4/m b m'
_symmetry_Int_Tables_number 127
_symmetry_space_group_name_Hall '-P 4 2ab'
loop_
_atom_site_label
_atom_site_fract_x
_atom_site_fract_y
_atom_site_fract_z
_atom_site_occupancy
Cd1 0.1684 0.3316 0.0000 1
Re1 0.0000 0.0000 0.5000 1
Pd1 0.1306 0.6306 0.5000 1


# Cd2RePdRu, relaxed, DFT PBE-GGA
# Formation energy: 1.799 eV per atom
data_Cd2RePdRu
_chemical_formula_sum 'Cd2 Re1 Pd1 Ru1'
_cell_length_a 5.0655
_cell_length_b 5.0655
_cell_length_c 4.7294
_cell_angle_alpha 90.00
_cell_angle_beta 90.00
_cell_angle_gamma 90.00
_symmetry_space_group_name_H-M 'P 4/m m m'
_symmetry_Int_Tables_number 123
_symmetry_space_group_name_Hall '-P 4 2'
loop_
_atom_site_label
_atom_site_fract_x
_atom_site_fract_y
_atom_site_fract_z
_atom_site_occupancy
Cd1 0.0000 0.5000 0.0000 1
Re1 0.0000 0.0000 0.5000 1
Pd1 0.5000 0.5000 0.5000 1
Ru1 0.5000 0.5000 0.0000 1


# CdRePd2Ru, relaxed, DFT PBE-GGA
# Formation energy: 1.897 eV per atom
data_CdRePd2Ru
_chemical_formula_sum 'Cd1 Re1 Pd2 Ru1'
_cell_length_a 4.7473
_cell_length_b 4.7473
_cell_length_c 4.9993
_cell_angle_alpha 90.00
_cell_angle_beta 90.00
_cell_angle_gamma 90.00
_symmetry_space_group_name_H-M 'P 4/m m m'
_symmetry_Int_Tables_number 123
_symmetry_space_group_name_Hall '-P 4 2'
loop_
_atom_site_label
_atom_site_fract_x
_atom_site_fract_y
_atom_site_fract_z
_atom_site_occupancy
Cd1 0.0000 0.0000 0.0000 1
Re1 0.5000 0.5000 0.0000 1
Pd1 0.0000 0.5000 0.5000 1
Ru1 0.0000 0.0000 0.5000 1


# Cd4PdRh, relaxed, DFT PBE-GGA
# Formation energy: -0.090 eV per atom
data_Cd4PdRh
_chemical_formula_sum 'Cd4 Pd1 Rh1'
_cell_length_a 4.5214
_cell_length_b 4.5214
_cell_length_c 6.4241
_cell_angle_alpha 90.00
_cell_angle_beta 90.00
_cell_angle_gamma 90.00
_symmetry_space_group_name_H-M 'P 4/m m m'
_symmetry_Int_Tables_number 123
_symmetry_space_group_name_Hall '-P 4 2'
loop_
_atom_site_label
_atom_site_fract_x
_atom_site_fract_y
_atom_site_fract_z
_atom_site_occupancy
Cd1 0.0000 0.5000 0.2455 1
Pd1 0.0000 0.0000 0.5000 1
Rh1 0.5000 0.5000 0.0000 1


# Cd2PdRh, relaxed, DFT PBE-GGA
# Formation energy: 0.214 eV per atom
# Polymorph energy (0 for the lowest one): 481 meV/atom
data_Cd2PdRh
_chemical_formula_sum 'Cd8 Pd4 Rh4'
_cell_length_a 4.0280
_cell_length_b 4.0280
_cell_length_c 18.8897
_cell_angle_alpha 90.00
_cell_angle_beta 90.00
_cell_angle_gamma 90.00
_symmetry_space_group_name_H-M 'I -4 2 d'
_symmetry_Int_Tables_number 122
_symmetry_space_group_name_Hall 'I -4 2bw'
loop_
_atom_site_label
_atom_site_fract_x
_atom_site_fract_y
_atom_site_fract_z
_atom_site_occupancy
Cd1 0.2484 0.2500 0.1250 1
Pd1 0.0000 0.0000 0.5000 1
Rh1 0.0000 0.0000 0.0000 1


# Cd3PdRh2, relaxed, DFT PBE-GGA
# Formation energy: -0.196 eV per atom
data_Cd3PdRh2
_chemical_formula_sum 'Cd6 Pd2 Rh4'
_cell_length_a 4.5591
_cell_length_b 13.6640
_cell_length_c 3.2806
_cell_angle_alpha 90.00
_cell_angle_beta 90.00
_cell_angle_gamma 90.00
_symmetry_space_group_name_H-M 'C m m m'
_symmetry_Int_Tables_number 65
_symmetry_space_group_name_Hall '-C 2 2'
loop_
_atom_site_label
_atom_site_fract_x
_atom_site_fract_y
_atom_site_fract_z
_atom_site_occupancy
Cd1 0.0000 0.0000 0.0000 1
Cd2 0.0000 0.3318 0.0000 1
Pd1 0.0000 0.5000 0.5000 1
Rh1 0.0000 0.1657 0.5000 1


# CdPdRh2, relaxed, DFT PBE-GGA
# Formation energy: 0.024 eV per atom
data_CdPdRh2
_chemical_formula_sum 'Cd1 Pd1 Rh2'
_cell_length_a 3.9618
_cell_length_b 3.9618
_cell_length_c 4.0061
_cell_angle_alpha 90.00
_cell_angle_beta 90.00
_cell_angle_gamma 90.00
_symmetry_space_group_name_H-M 'P 4/m m m'
_symmetry_Int_Tables_number 123
_symmetry_space_group_name_Hall '-P 4 2'
loop_
_atom_site_label
_atom_site_fract_x
_atom_site_fract_y
_atom_site_fract_z
_atom_site_occupancy
Cd1 0.0000 0.0000 0.0000 1
Pd1 0.5000 0.5000 0.0000 1
Rh1 0.0000 0.5000 0.5000 1


# CdPd2Rh2, relaxed, DFT PBE-GGA
# Formation energy: 0.162 eV per atom
# Polymorph energy (0 for the lowest one): 23 meV/atom
data_CdPd2Rh2
_chemical_formula_sum 'Cd2 Pd4 Rh4'
_cell_length_a 7.6518
_cell_length_b 7.6518
_cell_length_c 2.8182
_cell_angle_alpha 90.00
_cell_angle_beta 90.00
_cell_angle_gamma 90.00
_symmetry_space_group_name_H-M 'P 4/m b m'
_symmetry_Int_Tables_number 127
_symmetry_space_group_name_Hall '-P 4 2ab'
loop_
_atom_site_label
_atom_site_fract_x
_atom_site_fract_y
_atom_site_fract_z
_atom_site_occupancy
Cd1 0.0000 0.0000 0.0000 1
Pd1 0.1261 0.3739 0.0000 1
Rh1 0.1718 0.6718 0.5000 1


# Cd6Pd2Rh, relaxed, DFT PBE-GGA
# Formation energy: -0.127 eV per atom
# Polymorph energy (0 for the lowest one): 56 meV/atom
data_Cd6Pd2Rh
_chemical_formula_sum 'Cd12 Pd4 Rh2'
_cell_length_a 14.3332
_cell_length_b 6.4075
_cell_length_c 4.5389
_cell_angle_alpha 90.00
_cell_angle_beta 108.10
_cell_angle_gamma 90.00
_symmetry_space_group_name_H-M 'C 1 2/m 1'
_symmetry_Int_Tables_number 12
loop_
_symmetry_equiv_pos_as_xyz
'x,y,z'
'-x,-y,-z'
'-x,y,-z'
'x,-y,z'
'x+1/2,y+1/2,z'
'-x+1/2,-y+1/2,-z'
'-x+1/2,y+1/2,-z'
'x+1/2,-y+1/2,z'
loop_
_atom_site_label
_atom_site_fract_x
_atom_site_fract_y
_atom_site_fract_z
_atom_site_occupancy
Cd1 0.0000 0.2456 0.0000 1
Cd2 0.1648 0.2472 0.6642 1
Pd1 0.1666 0.5000 0.1658 1
Rh1 0.0000 0.0000 0.5000 1


# Cd2PdRh, relaxed, DFT PBE-GGA
# Formation energy: -0.260 eV per atom
# Polymorph energy (0 for the lowest one): 7 meV/atom
data_Cd2PdRh
_chemical_formula_sum 'Cd8 Pd4 Rh4'
_cell_length_a 6.4931
_cell_length_b 6.4931
_cell_length_c 6.4931
_cell_angle_alpha 90.00
_cell_angle_beta 90.00
_cell_angle_gamma 90.00
_symmetry_space_group_name_H-M 'F m -3 m'
_symmetry_Int_Tables_number 225
_symmetry_space_group_name_Hall '-F 4 2 3'
loop_
_atom_site_label
_atom_site_fract_x
_atom_site_fract_y
_atom_site_fract_z
_atom_site_occupancy
Cd1 0.2500 0.2500 0.2500 1
Pd1 0.0000 0.0000 0.0000 1
Rh1 0.0000 0.0000 0.5000 1


# Cd4PdRh, relaxed, DFT PBE-GGA
# Formation energy: -0.091 eV per atom
data_Cd4PdRh
_chemical_formula_sum 'Cd4 Pd1 Rh1'
_cell_length_a 3.0711
_cell_length_b 4.9083
_cell_length_c 7.7267
_cell_angle_alpha 90.00
_cell_angle_beta 90.00
_cell_angle_gamma 90.00
_symmetry_space_group_name_H-M 'P m m m'
_symmetry_Int_Tables_number 47
loop_
_symmetry_equiv_pos_as_xyz
'x,y,z'
'-x,-y,-z'
'-x,-y,z'
'x,y,-z'
'x,-y,-z'
'-x,y,z'
'-x,y,-z'
'x,-y,z'
loop_
_atom_site_label
_atom_site_fract_x
_atom_site_fract_y
_atom_site_fract_z
_atom_site_occupancy
Cd1 0.0000 0.0000 0.1850 1
Cd2 0.5000 0.5000 0.3076 1
Pd1 0.5000 0.0000 0.5000 1
Rh1 0.0000 0.5000 0.0000 1


# Cd5PdRh, relaxed, DFT PBE-GGA
# Formation energy: -0.057 eV per atom
data_Cd5PdRh
_chemical_formula_sum 'Cd20 Pd4 Rh4'
_cell_length_a 7.9998
_cell_length_b 9.9803
_cell_length_c 7.9653
_cell_angle_alpha 90.00
_cell_angle_beta 114.24
_cell_angle_gamma 90.00
_symmetry_space_group_name_H-M 'C 1 2/c 1'
_symmetry_Int_Tables_number 15
loop_
_symmetry_equiv_pos_as_xyz
'x,y,z'
'-x,-y,-z'
'-x,y,-z+1/2'
'x,-y,z+1/2'
'x+1/2,y+1/2,z'
'-x+1/2,-y+1/2,-z'
'-x+1/2,y+1/2,-z+1/2'
'x+1/2,-y+1/2,z+1/2'
loop_
_atom_site_label
_atom_site_fract_x
_atom_site_fract_y
_atom_site_fract_z
_atom_site_occupancy
Cd1 0.0000 0.0372 0.2500 1
Cd2 0.1228 0.2831 0.1241 1
Cd3 0.1910 0.4864 0.8912 1
Pd1 0.0000 0.2444 0.7500 1
Rh1 0.2500 0.2500 0.5000 1


# Cd2PdRh, relaxed, DFT PBE-GGA
# Formation energy: 0.054 eV per atom
# Polymorph energy (0 for the lowest one): 322 meV/atom
data_Cd2PdRh
_chemical_formula_sum 'Cd6 Pd3 Rh3'
_cell_length_a 2.8911
_cell_length_b 2.8911
_cell_length_c 29.9676
_cell_angle_alpha 90.00
_cell_angle_beta 90.00
_cell_angle_gamma 120.00
_symmetry_space_group_name_H-M 'R -3 m'
_symmetry_Int_Tables_number 166
_symmetry_space_group_name_Hall '-R 3 2"'
loop_
_atom_site_label
_atom_site_fract_x
_atom_site_fract_y
_atom_site_fract_z
_atom_site_occupancy
Cd1 0.0000 0.0000 0.0903 1
Pd1 0.0000 0.0000 0.0000 1
Rh1 0.0000 0.0000 0.5000 1


# Cd3Pd6Rh, relaxed, DFT PBE-GGA
# Formation energy: -0.215 eV per atom
data_Cd3Pd6Rh
_chemical_formula_sum 'Cd6 Pd12 Rh2'
_cell_length_a 7.6008
_cell_length_b 4.6467
_cell_length_c 10.0276
_cell_angle_alpha 90.00
_cell_angle_beta 111.06
_cell_angle_gamma 90.00
_symmetry_space_group_name_H-M 'P 1 21/m 1'
_symmetry_Int_Tables_number 11
loop_
_symmetry_equiv_pos_as_xyz
'x,y,z'
'-x,-y,-z'
'-x,y+1/2,-z'
'x,-y+1/2,z'
loop_
_atom_site_label
_atom_site_fract_x
_atom_site_fract_y
_atom_site_fract_z
_atom_site_occupancy
Cd1 0.0850 0.2500 0.2294 1
Cd2 0.2982 0.2500 0.0227 1
Cd3 0.3173 0.7500 0.3789 1
Pd1 0.0982 0.2500 0.7228 1
Pd2 0.1059 0.7500 0.0736 1
Pd3 0.2872 0.2500 0.5353 1
Pd4 0.3025 0.7500 0.8613 1
Pd5 0.4964 0.2500 0.3264 1
Pd6 0.4981 0.2500 0.8314 1
Rh1 0.0965 0.7500 0.5639 1


# Cd2Pd2Rh, relaxed, DFT PBE-GGA
# Formation energy: 0.720 eV per atom
# Polymorph energy (0 for the lowest one): 740 meV/atom
data_Cd2Pd2Rh
_chemical_formula_sum 'Cd2 Pd2 Rh1'
_cell_length_a 4.8846
_cell_length_b 4.8846
_cell_length_c 5.0469
_cell_angle_alpha 90.00
_cell_angle_beta 90.00
_cell_angle_gamma 90.00
_symmetry_space_group_name_H-M 'P 4/m m m'
_symmetry_Int_Tables_number 123
_symmetry_space_group_name_Hall '-P 4 2'
loop_
_atom_site_label
_atom_site_fract_x
_atom_site_fract_y
_atom_site_fract_z
_atom_site_occupancy
Cd1 0.0000 0.0000 0.0000 1
Cd2 0.5000 0.5000 0.0000 1
Pd1 0.0000 0.5000 0.5000 1
Rh1 0.0000 0.0000 0.5000 1


# CdPd2Rh2, relaxed, DFT PBE-GGA
# Formation energy: 0.140 eV per atom
# Polymorph energy (0 for the lowest one): 0 meV/atom
data_CdPd2Rh2
_chemical_formula_sum 'Cd2 Pd4 Rh4'
_cell_length_a 7.5851
_cell_length_b 7.5851
_cell_length_c 2.8742
_cell_angle_alpha 90.00
_cell_angle_beta 90.00
_cell_angle_gamma 90.00
_symmetry_space_group_name_H-M 'P 4/m b m'
_symmetry_Int_Tables_number 127
_symmetry_space_group_name_Hall '-P 4 2ab'
loop_
_atom_site_label
_atom_site_fract_x
_atom_site_fract_y
_atom_site_fract_z
_atom_site_occupancy
Cd1 0.0000 0.0000 0.0000 1
Pd1 0.1777 0.3223 0.5000 1
Rh1 0.1204 0.6204 0.0000 1


# Cd2Pd9Rh, relaxed, DFT PBE-GGA
# Formation energy: -0.137 eV per atom
data_Cd2Pd9Rh
_chemical_formula_sum 'Cd2 Pd9 Rh1'
_cell_length_a 3.9919
_cell_length_b 3.9919
_cell_length_c 12.0907
_cell_angle_alpha 90.00
_cell_angle_beta 90.00
_cell_angle_gamma 90.00
_symmetry_space_group_name_H-M 'P 4/m m m'
_symmetry_Int_Tables_number 123
_symmetry_space_group_name_Hall '-P 4 2'
loop_
_atom_site_label
_atom_site_fract_x
_atom_site_fract_y
_atom_site_fract_z
_atom_site_occupancy
Cd1 0.0000 0.0000 0.1691 1
Pd1 0.0000 0.5000 0.0000 1
Pd2 0.0000 0.5000 0.3408 1
Pd3 0.5000 0.5000 0.1709 1
Pd4 0.5000 0.5000 0.5000 1
Rh1 0.0000 0.0000 0.5000 1


# Cd5Pd6Rh, relaxed, DFT PBE-GGA
# Formation energy: -0.296 eV per atom
data_Cd5Pd6Rh
_chemical_formula_sum 'Cd10 Pd12 Rh2'
_cell_length_a 4.2772
_cell_length_b 7.4514
_cell_length_c 12.8093
_cell_angle_alpha 90.00
_cell_angle_beta 90.00
_cell_angle_gamma 90.00
_symmetry_space_group_name_H-M 'I m m m'
_symmetry_Int_Tables_number 71
_symmetry_space_group_name_Hall '-I 2 2'
loop_
_atom_site_label
_atom_site_fract_x
_atom_site_fract_y
_atom_site_fract_z
_atom_site_occupancy
Cd1 0.0000 0.0000 0.0000 1
Cd2 0.0000 0.0000 0.3420 1
Cd3 0.0000 0.5000 0.3311 1
Pd1 0.0000 0.2490 0.1656 1
Pd2 0.0000 0.2530 0.5000 1
Rh1 0.0000 0.5000 0.0000 1